Entry 1:
DFT (PBE) results for a relaxed HfTlHg2 crystal.

```
HfTlHg2
1.0
3.260 0.000 0.000
-1.630 2.824 0.000
0.000 0.000 34.055
Hf Tl Hg
3 3 6
Direct
0.000 0.000 0.000
0.333 0.667 0.667
0.667 0.333 0.333
0.000 0.000 0.500
0.333 0.667 0.167
0.667 0.333 0.833
0.000 0.000 0.085
0.000 0.000 0.915
0.333 0.667 0.582
0.333 0.667 0.751
0.667 0.333 0.249
0.667 0.333 0.418
```

Calculated values
- ΔE to the lowest computed polymorph (eV per atom) = 0.238
- magnetization (μB/cell) = 0.0
- electronic total energy (eV/atom) = -2.92
- DOS(E_F) (states/eV/cell) = 8.967
- formation energy from the elements (meV/atom) = 311
- density (g/cm³) = 12.5



Entry 2:
DFT (PBE) results for a relaxed FeSnS2 crystal.

```
FeSnS2
1.0
3.350 0.000 0.000
-1.675 2.902 0.000
0.000 0.000 24.011
Fe Sn S
3 3 6
Direct
0.000 0.000 0.000
0.333 0.667 0.667
0.667 0.333 0.333
0.000 0.000 0.500
0.333 0.667 0.167
0.667 0.333 0.833
0.000 0.000 0.383
0.000 0.000 0.617
0.333 0.667 0.050
0.333 0.667 0.284
0.667 0.333 0.716
0.667 0.333 0.950
```

Calculated values
- magnetization (μB/cell) = 3.6
- electronic total energy (eV/atom) = -5.48
- DOS(E_F) (states/eV/cell) = 14.550
- density (g/cm³) = 5.1
- E_form (uncorrected) (eV/f.u.) = -1.2



Entry 3:
DFT (PBE) results for a relaxed Hf3Al3Ga2 crystal.

```
Hf3Al3Ga2
1.0
4.056 0.000 0.000
0.000 4.150 0.000
0.000 0.000 8.524
Hf Al Ga
3 3 2
Direct
0.000 0.000 0.000
0.500 0.000 0.270
0.500 0.000 0.730
0.000 0.000 0.500
0.500 0.500 0.000
0.500 0.500 0.500
0.000 0.500 0.240
0.000 0.500 0.760
```

Calculated values
- magnetization (μB/cell) = 0.0
- electronic total energy (eV/atom) = -6.29
- DOS(E_F) (states/eV/cell) = 5.164
- formation energy from the elements (meV/atom) = -401
- density (g/cm³) = 8.7



Entry 4:
DFT (PBE) results for a relaxed MgSc2Cu crystal.

```
MgSc2Cu
1.0
6.812 0.000 0.000
0.000 6.812 0.000
0.000 0.000 6.812
Mg Sc Cu
4 8 4
Direct
0.000 0.000 0.000
0.000 0.500 0.500
0.500 0.000 0.500
0.500 0.500 0.000
0.000 0.000 0.500
0.000 0.500 0.000
0.250 0.250 0.250
0.250 0.750 0.750
0.500 0.000 0.000
0.500 0.500 0.500
0.750 0.250 0.750
0.750 0.750 0.250
0.250 0.250 0.750
0.250 0.750 0.250
0.750 0.250 0.250
0.750 0.750 0.750
```

Calculated values
- magnetization (μB/cell) = 1.7
- electronic total energy (eV/atom) = -4.50
- DOS(E_F) (states/eV/cell) = 14.856
- formation energy from the elements (meV/atom) = 92
- density (g/cm³) = 3.7



Entry 5:
DFT (PBE) results for a relaxed PaTeCl3 crystal.

```
PaTeCl3
1.0
7.617 0.000 0.000
0.000 7.712 0.000
0.000 0.000 6.533
Pa Te Cl
2 2 6
Direct
0.000 0.002 0.000
0.500 0.998 0.500
0.000 0.308 0.218
0.500 0.692 0.718
0.000 0.730 0.792
0.250 0.143 0.748
0.250 0.857 0.248
0.500 0.270 0.292
0.750 0.143 0.748
0.750 0.857 0.248
```

Calculated values
- ΔE to the lowest computed polymorph (eV per atom) = 0.136
- magnetization (μB/cell) = 0.0
- electronic total energy (eV/atom) = -4.99
- density (g/cm³) = 4.0
- E_form (uncorrected) (eV/f.u.) = -6.8



Entry 6:
DFT (PBE) results for a relaxed LaSbH crystal.

```
LaSbH
1.0
3.403 0.000 0.000
0.000 3.403 0.000
0.000 0.000 11.576
La Sb H
2 2 2
Direct
0.000 0.000 0.000
0.500 0.500 0.500
0.000 0.000 0.288
0.500 0.500 0.788
0.000 0.000 0.557
0.500 0.500 0.057
```

Calculated values
- ΔE to the lowest computed polymorph (eV per atom) = 0.281
- magnetization (μB/cell) = 0.0
- electronic total energy (eV/atom) = -4.64
- DOS(E_F) (states/eV/cell) = 1.526
- density (g/cm³) = 6.5



Entry 7:
DFT (PBE) results for a relaxed Lu2SbSe crystal.

```
Lu2SbSe
1.0
4.165 0.000 0.000
-2.082 3.607 0.000
0.000 0.000 20.256
Lu Sb Se
6 3 3
Direct
0.000 0.000 0.246
0.000 0.000 0.754
0.333 0.667 0.421
0.333 0.667 0.912
0.667 0.333 0.088
0.667 0.333 0.579
0.000 0.000 0.000
0.333 0.667 0.667
0.667 0.333 0.333
0.000 0.000 0.500
0.333 0.667 0.167
0.667 0.333 0.833
```

Calculated values
- magnetization (μB/cell) = 0.0
- electronic total energy (eV/atom) = -5.47
- DOS(E_F) (states/eV/cell) = 5.771
- density (g/cm³) = 9.0
- E_form (uncorrected) (eV/f.u.) = -5.2



Entry 8:
DFT (PBE) results for a relaxed IrPdRh2 crystal.

```
IrPdRh2
1.0
2.740 0.000 0.000
0.000 2.740 0.000
0.000 0.000 7.760
Ir Pd Rh
1 1 2
Direct
0.000 0.000 0.000
0.000 0.000 0.500
0.500 0.500 0.240
0.500 0.500 0.760
```

Calculated values
- ΔE to the lowest computed polymorph (eV per atom) = 0.006
- magnetization (μB/cell) = 0.0
- electronic total energy (eV/atom) = -7.17
- DOS(E_F) (states/eV/cell) = 5.866
- formation energy from the elements (meV/atom) = 21
- density (g/cm³) = 14.4



Entry 9:
DFT (PBE) results for a relaxed NaBi2F8 crystal.

```
NaBi2F8
1.0
6.563 -2.024 0.000
6.563 2.024 0.000
-1.845 0.000 7.115
Na Bi F
1 2 8
Direct
0.000 0.000 0.000
0.236 0.236 0.742
0.764 0.764 0.258
0.074 0.074 0.748
0.240 0.240 0.093
0.296 0.296 0.449
0.405 0.405 0.868
0.595 0.595 0.132
0.704 0.704 0.551
0.760 0.760 0.907
0.926 0.926 0.252
```

Calculated values
- ΔE to the lowest computed polymorph (eV per atom) = 0.000
- magnetization (μB/cell) = 0.9
- electronic total energy (eV/atom) = -4.47
- DOS(E_F) (states/eV/cell) = 5.067
- density (g/cm³) = 5.2
- E_form (uncorrected) (eV/f.u.) = -25.1



Entry 10:
DFT (PBE) results for a relaxed Ho2ErMn crystal.

```
Ho2ErMn
1.0
3.371 0.000 0.000
-1.685 2.919 0.000
0.000 0.000 33.651
Ho Er Mn
6 3 3
Direct
0.000 0.000 0.082
0.000 0.000 0.918
0.333 0.667 0.585
0.333 0.667 0.749
0.667 0.333 0.251
0.667 0.333 0.415
0.000 0.000 0.500
0.333 0.667 0.167
0.667 0.333 0.833
0.000 0.000 0.000
0.333 0.667 0.667
0.667 0.333 0.333
```

Calculated values
- ΔE to the lowest computed polymorph (eV per atom) = 0.386
- magnetization (μB/cell) = 9.4
- electronic total energy (eV/atom) = -5.21
- DOS(E_F) (states/eV/cell) = 13.874
- formation energy from the elements (meV/atom) = 507
- density (g/cm³) = 8.3



Entry 11:
DFT (PBE) results for a relaxed CaS2NO crystal.

```
CaS2NO
1.0
5.509 0.000 0.000
0.000 5.509 0.000
0.000 0.000 4.727
Ca S N O
1 2 1 1
Direct
0.000 0.000 0.000
0.000 0.500 0.000
0.500 0.000 0.000
0.000 0.000 0.500
0.500 0.500 0.500
```

Calculated values
- ΔE to the lowest computed polymorph (eV per atom) = 0.870
- magnetization (μB/cell) = 7.0
- electronic total energy (eV/atom) = -3.35
- DOS(E_F) (states/eV/cell) = 5.045
- density (g/cm³) = 1.6
- E_form (uncorrected) (eV/f.u.) = 6.8



Entry 12:
DFT (PBE) results for a relaxed Mn5C2 crystal.

```
Mn5C2
1.0
5.813 -2.237 0.000
5.813 2.237 0.000
-0.645 0.000 4.954
Mn C
10 4
Direct
0.069 0.931 0.750
0.126 0.307 0.307
0.307 0.126 0.807
0.310 0.489 0.081
0.489 0.310 0.581
0.511 0.690 0.419
0.690 0.511 0.919
0.693 0.874 0.193
0.874 0.693 0.693
0.931 0.069 0.250
0.070 0.704 0.422
0.296 0.930 0.078
0.704 0.070 0.922
0.930 0.296 0.578
```

Calculated values
- magnetization (μB/cell) = 4.4
- electronic total energy (eV/atom) = -9.25
- DOS(E_F) (states/eV/cell) = 12.255
- formation energy from the elements (meV/atom) = -61
- density (g/cm³) = 7.7